Record 1
Below is an optimized crystal structure of Y2HfSc4, with properties calculated at the PBE-GGA level.

Properties
ΔH_f (0 K) in eV/atom: 0.1097
Density of states at the Fermi level in states/eV/f.u.: 11.54

abc: 17.3897 17.3897 3.2621
angles: 90.00 90.00 169.22
Positions (direct):
Y  0.2040  0.7960  0.0000
Y  0.7960  0.2040  0.0000
Hf  0.5000  0.5000  0.5000
Sc  0.0625  0.9375  0.0000
Sc  0.3679  0.6321  0.5000
Sc  0.6321  0.3679  0.5000
Sc  0.9375  0.0625  0.0000

=====

Record 2
Below is an optimized crystal structure of YHfSc, with properties calculated at the PBE-GGA level.

Properties
ΔH_f (0 K) in eV/atom: 0.1012
Relative energy among the computed polymorphs in kJ per mole of atoms: 2.3
Density of states at the Fermi level in states/eV/f.u.: 4.51

abc: 7.5379 7.5379 7.5379
angles: 154.78 154.78 35.96
Positions (direct):
Y  0.0000  0.0000  0.0000
Hf  0.3340  0.3340  0.0000
Sc  0.6867  0.6867  0.0000

=====

Record 3
Below is an optimized crystal structure of Y2HfSc, with properties calculated at the PBE-GGA level.

Properties
ΔH_f (0 K) in eV/atom: 0.1233
Relative energy among the computed polymorphs in kJ per mole of atoms: 0.0
Density of states at the Fermi level in states/eV/f.u.: 6.98

abc: 11.0741 11.0741 11.0741
angles: 17.71 17.71 17.71
Positions (direct):
Y  0.0000  0.0000  0.0000
Y  0.1611  0.1611  0.1611
Hf  0.4143  0.4143  0.4143
Sc  0.5803  0.5803  0.5803

=====

Record 4
Below is an optimized crystal structure of YHf2Sc, with properties calculated at the PBE-GGA level.

Properties
ΔH_f (0 K) in eV/atom: 0.3411
Relative energy among the computed polymorphs in kJ per mole of atoms: 19.9
Density of states at the Fermi level in states/eV/f.u.: 10.02

abc: 5.1908 5.1908 5.1908
angles: 60.00 60.00 60.00
Positions (direct):
Y  0.0000  0.0000  0.0000
Hf  0.2500  0.2500  0.2500
Hf  0.7500  0.7500  0.7500
Sc  0.5000  0.5000  0.5000